Material: Li4TaBr
Method: DFT, GGA-PBE
State: relaxed

Cell: 5.438 5.438 5.438 Å, 60.00 60.00 60.00°
Fractional positions:
Li (0.865, 0.378, 0.378)
Ta (0.750, 0.750, 0.750)
Li (0.378, 0.378, 0.378)
Br (0.000, 0.000, 0.000)
Li (0.378, 0.378, 0.865)
Li (0.378, 0.865, 0.378)

Computed properties:
Space-group type   F-43m
DFT total energy   -17.80 eV per formula unit
Formation energy from raw total energies   3.4 eV per formula unit



Material: La2PmNd4
Method: DFT, GGA-PBE
State: relaxed

Cell: 7.194 8.586 8.591 Å, 87.09 98.38 98.43°
Fractional positions:
Nd (0.385, 0.856, 0.860)
Nd (0.270, 0.251, 0.750)
Nd (0.730, 0.749, 0.250)
La (0.000, 0.000, 0.500)
Nd (0.267, 0.751, 0.251)
La (0.000, 0.500, 0.500)
La (0.500, 0.000, 0.500)
La (0.000, 0.000, 0.000)
Pm (0.500, 0.500, 0.000)
Nd (0.385, 0.360, 0.356)
Nd (0.615, 0.144, 0.140)
Pm (0.000, 0.500, 0.000)
Nd (0.733, 0.249, 0.749)
Nd (0.615, 0.640, 0.644)

Computed properties:
Formation enthalpy at 0 K   236 meV per atom
Space-group type   C2/m
DFT total energy   -32.03 eV per formula unit



Material: Na2AlSO6
Method: DFT, GGA-PBE
State: relaxed

Cell: 4.788 5.582 5.582 Å, 120.00 90.00 90.00°
Fractional positions:
O (0.786, 0.138, 0.862)
O (0.214, 0.276, 0.138)
O (0.786, 0.724, 0.862)
O (0.786, 0.138, 0.276)
S (0.000, 0.000, 0.000)
Na (0.909, 0.667, 0.333)
Na (0.091, 0.333, 0.667)
O (0.214, 0.862, 0.138)
O (0.214, 0.862, 0.724)
Al (0.500, 0.000, 0.000)

Computed properties:
Space-group type   P-3m1
DFT total energy   -55.37 eV per formula unit
Formation energy from raw total energies   -15.1 eV per formula unit



Material: Tb2PrEr
Method: DFT, GGA-PBE
State: relaxed

Cell: 5.482 3.546 13.526 Å, 90.01 89.99 90.00°
Fractional positions:
Tb (0.701, 0.858, 0.150)
Tb (0.701, 0.359, 0.672)
Er (0.201, 0.859, 0.292)
Er (0.701, 0.358, 0.924)
Tb (0.201, 0.859, 0.544)
Pr (0.201, 0.858, 0.810)
Tb (0.201, 0.358, 0.066)
Pr (0.701, 0.359, 0.406)

Computed properties:
Formation enthalpy at 0 K   44 meV per atom
Space-group type   Pmmn
DFT total energy   -18.43 eV per formula unit



Material: YTcC3
Method: DFT, GGA-PBE
State: relaxed

Cell: 4.009 4.009 4.009 Å, 90.00 90.00 90.00°
Fractional positions:
C (0.500, 0.000, 0.000)
C (0.000, 0.000, 0.500)
Tc (0.000, 0.000, 0.000)
C (0.000, 0.500, 0.000)
Y (0.500, 0.500, 0.500)

Computed properties:
Formation enthalpy at 0 K   853 meV per atom
Space-group type   Pm-3m
DFT total energy   -40.24 eV per formula unit



Material: Ag3PtI6
Method: DFT, GGA-PBE
State: relaxed

Cell: 7.956 7.310 11.180 Å, 90.00 89.62 90.00°
Fractional positions:
Ag (0.452, 0.010, 0.774)
Ag (0.500, 0.500, 0.000)
Pt (0.000, 0.000, 0.000)
Ag (0.548, 0.990, 0.226)
I (0.901, 0.889, 0.221)
I (0.858, 0.693, 0.913)
Ag (0.952, 0.490, 0.274)
Pt (0.500, 0.500, 0.500)
I (0.329, 0.819, 0.047)
I (0.142, 0.307, 0.087)
Ag (0.048, 0.510, 0.726)
I (0.671, 0.181, 0.953)
I (0.358, 0.807, 0.413)
I (0.642, 0.193, 0.587)
I (0.599, 0.389, 0.279)
I (0.401, 0.611, 0.721)
Ag (0.000, 0.000, 0.500)
I (0.171, 0.319, 0.453)
I (0.829, 0.681, 0.547)
I (0.099, 0.111, 0.779)

Computed properties:
Space-group type   P2_1/c
DFT total energy   -24.93 eV per formula unit
Formation energy from raw total energies   -1.0 eV per formula unit



Material: NaTmAs
Method: DFT, GGA-PBE
State: relaxed

Cell: 4.588 4.588 10.759 Å, 77.69 77.69 60.00°
Fractional positions:
Na (0.880, 0.880, 0.359)
Na (0.120, 0.120, 0.641)
As (0.395, 0.395, 0.816)
Tm (0.703, 0.703, 0.892)
Tm (0.297, 0.297, 0.108)
As (0.605, 0.605, 0.184)

Computed properties:
Formation enthalpy at 0 K   -676 meV per atom
Space-group type   R-3m
DFT total energy   -12.47 eV per formula unit



Material: ZrTiFe
Method: DFT, GGA-PBE
State: relaxed

Cell: 5.116 5.116 5.116 Å, 95.62 115.23 118.41°
Fractional positions:
Ti (0.500, 0.500, 0.000)
Zr (0.750, 0.887, 0.637)
Ti (0.000, 0.500, 0.500)
Zr (0.250, 0.113, 0.363)
Fe (0.500, 0.000, 0.000)
Fe (0.000, 0.500, 0.000)

Computed properties:
Formation enthalpy at 0 K   -216 meV per atom
Space-group type   Imma
DFT total energy   -25.55 eV per formula unit



Material: Pr3Nd4Dy2
Method: DFT, GGA-PBE
State: relaxed

Cell: 3.667 6.340 15.529 Å, 65.87 90.00 106.81°
Fractional positions:
Nd (0.332, 0.665, 0.888)
Dy (0.333, 0.667, 0.221)
Nd (0.000, 0.999, 0.331)
Pr (0.667, 0.334, 0.443)
Nd (0.668, 0.335, 0.112)
Pr (0.333, 0.666, 0.557)
Pr (0.000, 0.000, 0.000)
Nd (0.000, 0.001, 0.669)
Dy (0.667, 0.333, 0.779)

Computed properties:
Formation enthalpy at 0 K   14 meV per atom
Space-group type   C2/m
DFT total energy   -42.49 eV per formula unit



Material: Al2C2N
Method: DFT, GGA-PBE
State: relaxed

Cell: 2.714 2.714 5.971 Å, 76.87 76.87 90.00°
Fractional positions:
Al (0.393, 0.393, 0.214)
C (0.750, 0.250, 0.500)
Al (0.607, 0.607, 0.786)
N (0.000, 0.000, 0.000)
C (0.250, 0.750, 0.500)

Computed properties:
Space-group type   I4/mmm
DFT total energy   -29.94 eV per formula unit
Formation energy from raw total energies   4.3 eV per formula unit



Material: CaAc3Cu2O9
Method: DFT, GGA-PBE
State: relaxed

Cell: 5.690 5.690 7.073 Å, 90.00 90.00 120.00°
Fractional positions:
O (0.500, 0.000, 0.000)
O (0.500, 0.500, 0.000)
O (0.826, 0.652, 0.687)
O (0.174, 0.826, 0.313)
O (0.652, 0.826, 0.313)
O (0.826, 0.174, 0.687)
Ac (0.667, 0.333, 0.316)
O (0.174, 0.348, 0.313)
Cu (0.333, 0.667, 0.160)
Ca (0.000, 0.000, 0.500)
Cu (0.667, 0.333, 0.840)
Ac (0.000, 0.000, 0.000)
Ac (0.333, 0.667, 0.684)
O (0.000, 0.500, 0.000)
O (0.348, 0.174, 0.687)

Computed properties:
Space-group type   P-3m1
DFT total energy   -99.74 eV per formula unit
Formation energy from raw total energies   -32.6 eV per formula unit



Material: TcPtW2
Method: DFT, GGA-PBE
State: relaxed

Cell: 2.791 2.791 7.990 Å, 90.00 90.00 89.99°
Fractional positions:
W (0.000, 0.000, 0.509)
Tc (0.500, 0.500, 0.750)
W (0.000, 0.000, 0.991)
Pt (0.500, 0.500, 0.250)

Computed properties:
Formation enthalpy at 0 K   -30 meV per atom
Space-group type   P4/mmm
DFT total energy   -42.43 eV per formula unit



| no. | calculated density (g cm⁻³) |
| --- | --- |
| 1 | 4.21 |
| 2 | 6.40 |
| 3 | 2.58 |
| 4 | 7.91 |
| 5 | 5.75 |
| 6 | 6.54 |
| 7 | 4.66 |
| 8 | 6.57 |
| 9 | 7.04 |
| 10 | 3.67 |
| 11 | 8.31 |
| 12 | 17.63 |